This record from Alexandria describes a relaxed CrGePdO crystal. The functional is PBE+U. Values from VASP.

The structure in Quantum ESPRESSO input format:
```
&SYSTEM
  ibrav = 0, nat = 4, ntyp = 4
/
ATOMIC_SPECIES
Cr 52.00 Cr.upf
Ge 72.64 Ge.upf
Pd 106.42 Pd.upf
O 16.00 O.upf
ATOMIC_POSITIONS angstrom
Cr 0.000 0.000 0.000
Ge 0.000 0.000 2.840
Pd 1.472 1.472 4.398
O 1.472 1.472 6.873
CELL_PARAMETERS angstrom
2.944 0.000 0.000
0.000 2.944 0.000
0.000 0.000 6.936
```

## Properties
E above lowest polymorph = 0.0 meV per atom
D(E_F) = 2.23 states/eV per cell
E = -6.3099 eV/atom
Crystal system = tetragonal
Symmetry = P4mm (99)
Calculated volume = 60.1 Å³/cell